Record 1
Computed, not measured: an optimized crystal structure of IrOs3 at the GGA-PBEsol level of DFT.

It has space group P4/mmm (No. 123), with a = 2.696 Å, b = 2.696 Å, c = 7.688 Å, α = 90.00°, β = 90.00° and γ = 90.00°. Symmetry generates all atoms from Ir at (0.000, 0.000, 0.000), Os at (0.000, 0.000, 0.500) and Os at (0.500, 0.500, 0.252).

As for the calculated total energy: -11.54 eV per atom. The magnetic moment is 0.00 μB per formula unit.

---

Record 2
Computed, not measured: an optimized crystal structure of NaScSi2O6 at the GGA-PBEsol level of DFT.

It has space group C2/c (No. 15), with a = 9.887 Å, b = 9.054 Å, c = 5.368 Å, α = 90.00°, β = 107.34° and γ = 90.00°. Symmetry generates all atoms from Na at (0.000, 0.199, 0.250), Sc at (0.000, 0.396, 0.750), Si at (0.210, 0.088, 0.756), O at (0.117, 0.421, 0.146), O at (0.141, 0.250, 0.695) and O at (0.149, 0.006, 0.978).

Its formation energy without anion corrections is -2933 meV per atom. As for the calculated total energy: -8.03 eV per atom. The magnetic moment is 0.00 μB per formula unit.

---

Record 3
Computed, not measured: an optimized crystal structure of CdInOF2 at the GGA-PBEsol level of DFT.

It has space group P4/mmm (No. 123), with a = 4.281 Å, b = 4.281 Å, c = 4.081 Å, α = 90.00°, β = 90.00° and γ = 90.00°. Symmetry generates all atoms from Cd at (0.000, 0.000, 0.000), In at (0.500, 0.500, 0.500), O at (0.500, 0.500, 0.000) and F at (0.000, 0.500, 0.500).

Its formation energy without anion corrections is -1499 meV per atom. As for the calculated total energy: -4.16 eV per atom. The magnetic moment is 0.00 μB per formula unit.

---

Record 4
Computed, not measured: an optimized crystal structure of MoAuSe2 at the GGA-PBEsol level of DFT.

It has space group Imm2 (No. 44), with a = 3.066 Å, b = 3.900 Å, c = 12.524 Å, α = 90.00°, β = 90.00° and γ = 90.00°. Symmetry generates all atoms from Mo at (0.000, 0.000, 0.000), Au at (0.000, 0.500, 0.285), Se at (0.000, 0.000, 0.437) and Se at (0.000, 0.500, 0.656).

As for the energy above the lowest structure with this stoichiometry: 49 meV/atom. Its formation energy without anion corrections is 87 meV per atom. As for the calculated total energy: -5.76 eV per atom. The magnetic moment is 0.00 μB per formula unit.

---

Record 5
Computed, not measured: an optimized crystal structure of BeAgRh2 at the GGA-PBEsol level of DFT.

It has space group Amm2 (No. 38), with a = 3.499 Å, b = 2.686 Å, c = 11.318 Å, α = 90.00°, β = 90.00° and γ = 90.00°. Symmetry generates all atoms from Be at (0.000, 0.000, 0.000), Ag at (0.500, 0.000, 0.149), Rh at (0.000, 0.000, 0.798) and Rh at (0.500, 0.000, 0.430).

As for the calculated total energy: -5.85 eV per atom. The magnetic moment is 0.00 μB per formula unit.

---

Record 6
Computed, not measured: an optimized crystal structure of MoPS3 at the GGA-PBEsol level of DFT.

It has space group Pm-3m (No. 221), with a = 4.601 Å, b = 4.601 Å, c = 4.601 Å, α = 90.00°, β = 90.00° and γ = 90.00°. Symmetry generates all atoms from Mo at (0.000, 0.000, 0.000), P at (0.500, 0.500, 0.500) and S at (0.000, 0.000, 0.500).

Its formation energy without anion corrections is 487 meV per atom. As for the calculated total energy: -5.65 eV per atom. The magnetic moment is 1.43 μB per formula unit.

---

Record 7
Computed, not measured: an optimized crystal structure of NbCu3Pd at the GGA-PBEsol level of DFT.

It has space group Pm-3m (No. 221), with a = 4.592 Å, b = 4.592 Å, c = 4.592 Å, α = 90.00°, β = 90.00° and γ = 90.00°. Symmetry generates all atoms from Nb at (0.000, 0.000, 0.000), Cu at (0.000, 0.000, 0.500) and Pd at (0.500, 0.500, 0.500).

As for the calculated total energy: -4.24 eV per atom. The magnetic moment is 0.00 μB per formula unit.

---

Record 8
Computed, not measured: an optimized crystal structure of Co2RuPb at the GGA-PBEsol level of DFT.

It has space group P4mm (No. 99), with a = 3.033 Å, b = 3.033 Å, c = 6.216 Å, α = 90.00°, β = 90.00° and γ = 90.00°. Symmetry generates all atoms from Co at (0.000, 0.000, 0.000), Co at (0.500, 0.500, 0.190), Ru at (0.500, 0.500, 0.776) and Pb at (0.000, 0.000, 0.474).

As for the calculated total energy: -6.88 eV per atom. The magnetic moment is 3.59 μB per formula unit.

---

Record 9
Computed, not measured: an optimized crystal structure of BaZn2Si2 at the GGA-PBEsol level of DFT.

It has space group I4/mmm (No. 139), with a = 4.449 Å, b = 4.449 Å, c = 10.033 Å, α = 90.00°, β = 90.00° and γ = 90.00°. Symmetry generates all atoms from Ba at (0.000, 0.000, 0.000), Zn at (0.000, 0.500, 0.250) and Si at (0.000, 0.000, 0.379).

Its formation energy without anion corrections is -336 meV per atom. As for the calculated total energy: -3.70 eV per atom. The magnetic moment is 0.00 μB per formula unit.

---

Record 10
Computed, not measured: an optimized crystal structure of PrMg at the GGA-PBEsol level of DFT.

It has space group Pm-3m (No. 221), with a = 3.855 Å, b = 3.855 Å, c = 3.855 Å, α = 90.00°, β = 90.00° and γ = 90.00°. Symmetry generates all atoms from Pr at (0.000, 0.000, 0.000) and Mg at (0.500, 0.500, 0.500).

As for the calculated total energy: -3.56 eV per atom. The magnetic moment is 0.00 μB per formula unit.

---

Record 11
Computed, not measured: an optimized crystal structure of RbNbAsBr2 at the GGA-PBEsol level of DFT.

It has space group P4/mmm (No. 123), with a = 5.303 Å, b = 5.303 Å, c = 4.973 Å, α = 90.00°, β = 90.00° and γ = 90.00°. Symmetry generates all atoms from Rb at (0.000, 0.000, 0.000), Nb at (0.500, 0.500, 0.500), As at (0.500, 0.500, 0.000) and Br at (0.000, 0.500, 0.500).

As for the energy above the lowest structure with this stoichiometry: 0 meV/atom. Its formation energy without anion corrections is -616 meV per atom. As for the calculated total energy: -4.75 eV per atom. The magnetic moment is 0.00 μB per formula unit.

---

Record 12
Computed, not measured: an optimized crystal structure of Zr5Sn3C at the GGA-PBEsol level of DFT.

It has space group P6_3/mcm (No. 193), with a = 8.4024 Å, b = 8.4024 Å, c = 5.7856 Å, α = 90.00°, β = 90.00° and γ = 120.00°. Symmetry generates all atoms from Zr at (0.0000, 0.2198, 0.2500), Zr at (0.3333, 0.6667, 0.0000), Sn at (0.0000, 0.4041, 0.7500) and C at (0.0000, 0.0000, 0.0000).

As for the calculated total energy: -8.31 eV per atom. The magnetic moment is 0.00 μB per formula unit.

---

Q: Among the records above, which one has the highest calculated total energy?
A: PrMg

---

Q: Among the records above, which one has the highest magnetic moment?
A: Co2RuPb